1.
Pr4Cd2Hg3: optimized geometry, GGA-PBE.

The value obtained for the electronic total energy is -2.77 eV per atom. As for the total magnetic moment: 0.471 μB per formula unit. The crystal system is monoclinic.

The space group is C2/m (No. 12) and the conventional cell measures 10.709, 5.076 and 9.755 Å, with angles of 90.00, 108.63 and 90.00 degrees. The distinct sites, in fractional coordinates, are Pr at (0.047, 0.000, 0.343), Pr at (0.152, 0.500, 0.899), Cd at (0.212, 0.500, 0.260), Hg at (0.000, 0.000, 0.000) and Hg at (0.144, 0.500, 0.564).



2.
Pr5YCu6: optimized geometry, GGA-PBE.

The value obtained for the electronic total energy is -4.72 eV per atom. As for the total magnetic moment: 0.000 μB per formula unit. The crystal system is monoclinic.

The space group is C2/m (No. 12) and the conventional cell measures 16.122, 7.153 and 5.105 Å, with angles of 90.00, 108.29 and 90.00 degrees. The distinct sites, in fractional coordinates, are Pr at (0.000, 0.000, 0.000), Pr at (0.165, 0.000, 0.666), Pr at (0.168, 0.500, 0.668), Y at (0.000, 0.500, 0.000), Cu at (0.000, 0.268, 0.500) and Cu at (0.162, 0.259, 0.162).



3.
Mn2BeTe: optimized geometry, GGA-PBE.

As for the total magnetic moment: 5.799 μB per formula unit. The crystal system is monoclinic. For the formation energy (no corrections), the calculation gives 0.380 eV per atom.

The space group is P2/m (No. 10) and the conventional cell measures 3.288, 3.316 and 5.470 Å, with angles of 90.00, 95.97 and 90.00 degrees. The distinct sites, in fractional coordinates, are Mn at (0.039, 0.000, 0.275), Be at (0.500, 0.500, 0.500) and Te at (0.500, 0.500, 0.000).



4.
RbLiTlF5: optimized geometry, GGA-PBE.

As for the total magnetic moment: 0.000 μB per formula unit. The crystal system is monoclinic. For the formation energy (no corrections), the calculation gives -2.388 eV per atom.

The space group is C2/c (No. 15) and the conventional cell measures 7.543, 10.210 and 8.376 Å, with angles of 90.00, 114.73 and 90.00 degrees. The distinct sites, in fractional coordinates, are Rb at (0.000, 0.161, 0.250), Li at (0.000, 0.193, 0.750), Tl at (0.000, 0.500, 0.000), F at (0.000, 0.427, 0.250), F at (0.089, 0.303, 0.609) and F at (0.199, 0.069, 0.901).



5.
Zr2FeN2: optimized geometry, GGA-PBE.

As for the total magnetic moment: 1.813 μB per formula unit. The crystal system is tetragonal. For the formation energy (no corrections), the calculation gives -0.832 eV per atom.

The space group is I4/mmm (No. 139) and the conventional cell measures 4.509, 4.509 and 7.413 Å, with angles of 90.00, 90.00 and 90.00 degrees. The distinct sites, in fractional coordinates, are Zr at (0.000, 0.500, 0.250), Fe at (0.000, 0.000, 0.000) and N at (0.000, 0.000, 0.248).



6.
PrIn6Pd6: optimized geometry, GGA-PBE.

The value obtained for the electronic total energy is -4.57 eV per atom. As for the total magnetic moment: 0.000 μB per formula unit. The crystal system is orthorhombic.

The space group is Immm (No. 71) and the conventional cell measures 5.638, 9.244 and 9.862 Å, with angles of 90.00, 90.00 and 90.00 degrees. The distinct sites, in fractional coordinates, are Pr at (0.000, 0.000, 0.000), In at (0.000, 0.000, 0.342), In at (0.000, 0.339, 0.000), In at (0.000, 0.500, 0.321), Pd at (0.000, 0.262, 0.500) and Pd at (0.250, 0.250, 0.250).